A relaxed Tl2RuW crystal. Source: Alexandria, functional PBE.

## Properties
For the calculated formation energy, the calculation gives 934 meV/atom.

Geometry as CIF:
```
data_Tl2RuW
_cell_length_a 9.4264
_cell_length_b 3.0777
_cell_length_c 5.3024
_cell_angle_alpha 90.00
_cell_angle_beta 101.49
_cell_angle_gamma 90.00
_space_group_name_H-M_alt 'P 1'
_space_group_IT_number 1
loop_
_space_group_symop_operation_xyz
'x,y,z'
loop_
_atom_site_label
_atom_site_type_symbol
_atom_site_fract_x
_atom_site_fract_y
_atom_site_fract_z
Tl1 Tl 0.2460 0.0000 0.2447
Tl2 Tl 0.2540 0.5000 0.7553
Tl3 Tl 0.7460 0.5000 0.2447
Tl4 Tl 0.7540 0.0000 0.7553
Ru1 Ru 0.0000 0.5000 0.0000
Ru2 Ru 0.5000 0.0000 0.0000
W1 W 0.0000 0.0000 0.5000
W2 W 0.5000 0.5000 0.5000
```

---

A relaxed TlRu2W crystal. Source: Alexandria, functional PBE.

## Properties
For the calculated formation energy, the calculation gives 770 meV/atom.

Geometry as CIF:
```
data_TlRu2W
_cell_length_a 2.9832
_cell_length_b 4.8541
_cell_length_c 9.3896
_cell_angle_alpha 90.00
_cell_angle_beta 90.00
_cell_angle_gamma 90.00
_space_group_name_H-M_alt 'P 1'
_space_group_IT_number 1
loop_
_space_group_symop_operation_xyz
'x,y,z'
loop_
_atom_site_label
_atom_site_type_symbol
_atom_site_fract_x
_atom_site_fract_y
_atom_site_fract_z
Tl1 Tl 0.0000 0.0000 0.0000
Tl2 Tl 0.5000 0.5000 0.0000
Ru1 Ru 0.0000 0.0000 0.4931
Ru2 Ru 0.0000 0.5000 0.2579
Ru3 Ru 0.5000 0.0000 0.2579
Ru4 Ru 0.5000 0.5000 0.4931
W1 W 0.0000 0.5000 0.7206
W2 W 0.5000 0.0000 0.7206
```

---

A relaxed TlRu2W crystal. Source: Alexandria, functional PBE.

## Properties
For the calculated formation energy, the calculation gives 407 meV/atom.

Geometry as CIF:
```
data_TlRu2W
_cell_length_a 2.9258
_cell_length_b 2.9258
_cell_length_c 27.1787
_cell_angle_alpha 90.00
_cell_angle_beta 90.00
_cell_angle_gamma 120.00
_space_group_name_H-M_alt 'P 1'
_space_group_IT_number 1
loop_
_space_group_symop_operation_xyz
'x,y,z'
loop_
_atom_site_label
_atom_site_type_symbol
_atom_site_fract_x
_atom_site_fract_y
_atom_site_fract_z
Tl1 Tl 0.0000 0.0000 0.0000
Tl2 Tl 0.3333 0.6667 0.6667
Tl3 Tl 0.6667 0.3333 0.3333
Ru1 Ru 0.0000 0.0000 0.2429
Ru2 Ru 0.0000 0.0000 0.7571
Ru3 Ru 0.3333 0.6667 0.4238
Ru4 Ru 0.3333 0.6667 0.9096
Ru5 Ru 0.6667 0.3333 0.0904
Ru6 Ru 0.6667 0.3333 0.5762
W1 W 0.0000 0.0000 0.5000
W2 W 0.3333 0.6667 0.1667
W3 W 0.6667 0.3333 0.8333
```

---

Which formula does entry 2 have?
TlRu2W

---

The lowest calculated formation energy belongs to which entry?
number 3